Entry 1:
Computed, not measured: a geometry-optimized Tm8Cd2Os structure at the PBE level of DFT.

Output
electronic total energy	-50.972	eV per cell
crystal system	monoclinic
ΔH_f (0 K)	-0.1946	eV per atom
Fermi-level density of states	7.65	states/eV/cell

Lattice parameters (Å, degrees): 5.2318 6.9082 9.0459 109.76 106.81 90.00
With the nearest neighbours (Å) after each atom.
Fractional positions:
Tm (0.6527, 0.9502, 0.3054)  1 Os 2.78, 1 Cd 3.04
Tm (0.9800, 0.2088, 0.9600)  1 Cd 3.06, 2 Os 3.07, 5 Tm 3.20-3.40
Tm (0.5935, 0.4194, 0.1869)  1 Os 2.78
Tm (0.3473, 0.0498, 0.6946)  1 Os 2.78, 1 Cd 3.04
Tm (0.8038, 0.7149, 0.6076)  1 Cd 2.98
Tm (0.0200, 0.7912, 0.0400)  1 Cd 3.06, 2 Os 3.07, 5 Tm 3.20-3.40
Tm (0.1962, 0.2851, 0.3924)  1 Cd 2.98
Tm (0.4065, 0.5806, 0.8131)  1 Os 2.78
Os (0.5000, 0.0000, 0.0000)  8 Tm 2.78-3.07
Cd (0.1808, 0.7008, 0.3617)  7 Tm 2.98-3.29
Cd (0.8192, 0.2992, 0.6383)  7 Tm 2.98-3.29

***

Entry 2:
Computed, not measured: a geometry-optimized Tl2InMo structure at the PBE level of DFT.

Output
electronic total energy	-16.419	eV per cell
crystal system	orthorhombic
ΔH_f (0 K)	0.4707	eV per atom
Fermi-level density of states	2.18	states/eV/cell

Lattice parameters (Å, degrees): 7.5716 7.5716 4.9235 71.01 71.01 22.75
With the nearest neighbours (Å) after each atom.
Fractional positions:
In (0.5698, 0.5698, 0.4302)  2 Mo 2.89, 2 In 2.99
Mo (0.2461, 0.2461, 0.2540)  6 Tl 2.88-3.04, 2 In 2.89, 2 Mo 2.99
Tl (0.9353, 0.9353, 0.0645)  2 Tl 2.99, 2 Mo 3.04
Tl (0.7488, 0.7488, 0.7513)  4 Mo 2.88, 2 Tl 2.99

***

Entry 3:
Computed, not measured: a geometry-optimized Mg2CdNi structure at the PBE level of DFT.

Output
electronic total energy	-10.036	eV per cell
crystal system	cubic
ΔH_f (0 K)	-0.0375	eV per atom
Fermi-level density of states	2.29	states/eV/cell

Lattice parameters (Å, degrees): 4.6159 4.6159 4.6178 60.01 60.01 60.00
With the nearest neighbours (Å) after each atom.
Fractional positions:
Cd (0.5000, 0.5000, 0.5000)  4 Ni 2.83, 4 Mg 2.83
Mg (0.2501, 0.2501, 0.2496)  4 Mg 2.83, 4 Cd 2.83
Mg (0.0001, 0.0001, 0.9997)  4 Ni 2.83, 4 Mg 2.83
Ni (0.7498, 0.7498, 0.7507)  4 Mg 2.83, 4 Cd 2.83

***

Entry 4:
Computed, not measured: a geometry-optimized Cs2NaNbI6 structure at the PBE level of DFT.

Output
electronic total energy	-32.507	eV per cell
crystal system	cubic
Fermi-level density of states	10.75	states/eV/cell
E_form (uncorrected)	-1.011	eV per atom

Lattice parameters (Å, degrees): 8.5434 8.5434 8.5430 60.00 60.00 90.00
With the nearest neighbours (Å) after each atom.
Fractional positions:
Nb (0.0000, 0.0000, 0.0000)  6 I 2.87
I (0.2375, 0.2375, 0.5250)  1 Nb 2.87, 1 Na 3.17
I (0.7625, 0.7625, 0.0000)  1 Nb 2.87, 1 Na 3.17
I (0.2375, 0.2375, 0.0000)  1 Nb 2.87, 1 Na 3.17
I (0.7625, 0.2375, 0.0000)  1 Nb 2.87, 1 Na 3.17
I (0.7625, 0.7625, 0.4750)  1 Nb 2.87, 1 Na 3.17
I (0.2375, 0.7625, 0.0000)  1 Nb 2.87, 1 Na 3.17
Cs (0.2500, 0.7500, 0.5000)  12 I 4.27
Cs (0.7500, 0.2500, 0.5000)  12 I 4.27
Na (0.5000, 0.5000, 0.0000)  6 I 3.17

***

Entry 5:
Computed, not measured: a geometry-optimized SrNdSn2 structure at the PBE level of DFT.

Output
electronic total energy	-69.059	eV per cell
crystal system	orthorhombic
ΔH_f (0 K)	-0.7024	eV per atom
Fermi-level density of states	10.15	states/eV/cell

Lattice parameters (Å, degrees): 4.9903 7.2704 14.1943 90.00 90.00 90.00
With the nearest neighbours (Å) after each atom.
Fractional positions:
Sn (0.2500, 0.4512, 0.1403)  2 Sn 2.92-3.19, 1 Nd 3.23
Sn (0.2500, 0.5492, 0.3597)  2 Sn 2.92-3.19, 1 Nd 3.23
Sn (0.2500, 0.0492, 0.1403)  2 Sn 2.92-3.19, 1 Nd 3.23
Sn (0.7500, 0.9508, 0.8597)  2 Sn 2.92-3.19, 1 Nd 3.23
Sn (0.2500, 0.9512, 0.3597)  2 Sn 2.92-3.19, 1 Nd 3.23
Sn (0.7500, 0.5488, 0.8597)  2 Sn 2.92-3.19, 1 Nd 3.23
Sn (0.7500, 0.0488, 0.6403)  2 Sn 2.92-3.19, 1 Nd 3.23
Sn (0.7500, 0.4508, 0.6403)  2 Sn 2.92-3.19, 1 Nd 3.23
Nd (0.2500, 0.2500, 0.5279)  6 Sn 3.23-3.30
Nd (0.7500, 0.2500, 0.0279)  6 Sn 3.23-3.30
Nd (0.7500, 0.7500, 0.4721)  6 Sn 3.23-3.30
Nd (0.2500, 0.7500, 0.9721)  6 Sn 3.23-3.30
Sr (0.7500, 0.7503, 0.1995)  8 Sn 3.41-3.68
Sr (0.2500, 0.7497, 0.6995)  8 Sn 3.41-3.68
Sr (0.2500, 0.2497, 0.8005)  8 Sn 3.41-3.68
Sr (0.7500, 0.2503, 0.3005)  8 Sn 3.41-3.68

***

Entry 6:
Computed, not measured: a geometry-optimized Fe2TcRu structure at the PBE level of DFT.

Output
electronic total energy	-35.989	eV per cell
crystal system	tetragonal
ΔH_f (0 K)	0.1446	eV per atom
Fermi-level density of states	4.33	states/eV/cell

Lattice parameters (Å, degrees): 4.2076 4.2076 2.9584 90.00 90.00 90.00
With the nearest neighbours (Å) after each atom.
Fractional positions:
Tc (0.0000, 0.5000, 0.5000)  8 Fe 2.57
Fe (0.5000, 0.5000, 0.0000)  4 Tc 2.57, 4 Ru 2.57
Fe (0.0000, 0.0000, 0.0000)  4 Tc 2.57, 4 Ru 2.57
Ru (0.5000, 0.0000, 0.5000)  8 Fe 2.57

***

Entry 7:
Computed, not measured: a geometry-optimized LiDyH structure at the PBE level of DFT.

Output
electronic total energy	-42.178	eV per cell
crystal system	monoclinic
Fermi-level density of states	7.70	states/eV/cell

Lattice parameters (Å, degrees): 3.3829 6.7885 9.5117 110.67 90.00 90.00
With the nearest neighbours (Å) after each atom.
Fractional positions:
H (0.7500, 0.9308, 0.6126)  5 Dy 2.25-2.41
H (0.2500, 0.0692, 0.3874)  5 Dy 2.25-2.41
H (0.7500, 0.4308, 0.6126)  5 Dy 2.25-2.41
H (0.2500, 0.5692, 0.3874)  5 Dy 2.25-2.41
Li (0.2500, 0.9170, 0.0833)  1 H 2.71, 4 Li 2.81-2.82
Li (0.7500, 0.0830, 0.9167)  1 H 2.71, 4 Li 2.81-2.82
Li (0.7500, 0.5830, 0.9167)  1 H 2.71, 4 Li 2.81-2.82
Li (0.2500, 0.4170, 0.0833)  1 H 2.71, 4 Li 2.81-2.82
Dy (0.2500, 0.6941, 0.6399)  5 H 2.25-2.41
Dy (0.7500, 0.8059, 0.3601)  5 H 2.25-2.41
Dy (0.2500, 0.1941, 0.6399)  5 H 2.25-2.41
Dy (0.7500, 0.3059, 0.3601)  5 H 2.25-2.41

***

Entry 8:
Computed, not measured: a geometry-optimized CeErPuZr structure at the PBE level of DFT.

Output
electronic total energy	-32.601	eV per cell
crystal system	cubic
ΔH_f (0 K)	0.1940	eV per atom
Fermi-level density of states	10.11	states/eV/cell

Lattice parameters (Å, degrees): 5.3335 5.3335 5.3335 60.00 60.00 60.00
With the nearest neighbours (Å) after each atom.
Fractional positions:
Zr (0.2500, 0.2500, 0.2500)  4 Er 3.27, 4 Pu 3.27
Er (0.0000, 0.0000, 0.0000)  4 Zr 3.27, 4 Ce 3.27
Ce (0.7500, 0.7500, 0.7500)  4 Er 3.27, 4 Pu 3.27
Pu (0.5000, 0.5000, 0.5000)  4 Zr 3.27, 4 Ce 3.27